DFT (GGA-PBE) results for an optimized crystal structure of PmPr2Sm9.

Energy above the lowest structure with this stoichiometry ... 0.032 eV/atom
E_form ... 0.05 eV/atom
Spin magnetization ... 0.00 μB per cell

Structure (CIF):
```
data_PmPr2Sm9
_chemical_formula_sum 'Pm1 Pr2 Sm9'
_space_group_name_H-M_alt 'P 6/m m m'
_space_group_IT_number 191
_space_group_name_Hall '-P 6 2'
_cell_length_a 11.5305
_cell_length_b 11.5305
_cell_length_c 3.5561
_cell_angle_alpha 90.00
_cell_angle_beta 90.00
_cell_angle_gamma 120.00
loop_
_atom_site_label
_atom_site_type_symbol
_atom_site_fract_x
_atom_site_fract_y
_atom_site_fract_z
Pm1 Pm 0.0000 0.0000 0.0000
Pr1 Pr 0.3333 0.6667 0.0000
Sm1 Sm 0.0000 0.5000 0.0000
Sm2 Sm 0.1729 0.3458 0.5000
```


DFT (GGA-PBE) results for an optimized crystal structure of Pm8Pr3Sm.

E_form ... 0.04 eV/atom
Spin magnetization ... 0.00 μB per cell

Structure (CIF):
```
data_Pm8Pr3Sm
_chemical_formula_sum 'Pm16 Pr6 Sm2'
_space_group_name_H-M_alt 'C 1 m 1'
_space_group_IT_number 8
_cell_length_a 11.409
_cell_length_b 8.671
_cell_length_c 9.419
_cell_angle_alpha 90.00
_cell_angle_beta 116.00
_cell_angle_gamma 90.00
loop_
_space_group_symop_operation_xyz
'x,y,z'
'x,-y,z'
'x+1/2,y+1/2,z'
'x+1/2,-y+1/2,z'
loop_
_atom_site_label
_atom_site_type_symbol
_atom_site_fract_x
_atom_site_fract_y
_atom_site_fract_z
Pm1 Pm 0.000 0.000 0.000
Pm2 Pm 0.030 0.500 0.940
Pm3 Pm 0.198 0.000 0.610
Pm4 Pm 0.265 0.204 0.970
Pm5 Pm 0.334 0.000 0.336
Pm6 Pm 0.432 0.295 0.639
Pr1 Pr 0.099 0.295 0.306
Pr2 Pr 0.364 0.500 0.273
Sm1 Sm 0.167 0.500 0.670
```


DFT (GGA-PBE) results for an optimized crystal structure of Pm12Pr7Sm.

Energy above the lowest structure with this stoichiometry ... 0.000 eV/atom
E_form ... 0.21 eV/atom
Spin magnetization ... 0.00 μB per cell

Structure (CIF):
```
data_Pm12Pr7Sm
_chemical_formula_sum 'Pm36 Pr21 Sm3'
_space_group_name_H-M_alt 'R -3'
_space_group_IT_number 148
_space_group_name_Hall '-R 3'
_cell_length_a 12.3438
_cell_length_b 12.3438
_cell_length_c 16.2185
_cell_angle_alpha 90.00
_cell_angle_beta 90.00
_cell_angle_gamma 120.00
loop_
_atom_site_label
_atom_site_type_symbol
_atom_site_fract_x
_atom_site_fract_y
_atom_site_fract_z
Pm1 Pm 0.0228 0.4462 0.2223
Pm2 Pm 0.0534 0.5888 0.5815
Pr1 Pr 0.0000 0.0000 0.0000
Pr2 Pr 0.0560 0.1875 0.2925
Sm1 Sm 0.0000 0.0000 0.5000
```


DFT (GGA-PBE) results for an optimized crystal structure of Pm6Pr3Sm2.

Energy above the lowest structure with this stoichiometry ... 0.241 eV/atom
E_form ... 0.26 eV/atom
Spin magnetization ... 0.00 μB per cell

Structure (CIF):
```
data_Pm6Pr3Sm2
_chemical_formula_sum 'Pm12 Pr6 Sm4'
_space_group_name_H-M_alt 'I 4/m m m'
_space_group_IT_number 139
_space_group_name_Hall '-I 4 2'
_cell_length_a 4.869
_cell_length_b 4.869
_cell_length_c 33.826
_cell_angle_alpha 90.00
_cell_angle_beta 90.00
_cell_angle_gamma 90.00
loop_
_atom_site_label
_atom_site_type_symbol
_atom_site_fract_x
_atom_site_fract_y
_atom_site_fract_z
Pm1 Pm 0.000 0.000 0.195
Pm2 Pm 0.000 0.500 0.119
Pr1 Pr 0.000 0.000 0.297
Pr2 Pr 0.000 0.000 0.500
Sm1 Sm 0.000 0.000 0.045
```


DFT (GGA-PBE) results for an optimized crystal structure of Pm8Pr4Sm3.

Energy above the lowest structure with this stoichiometry ... 0.213 eV/atom
E_form ... 0.33 eV/atom
Spin magnetization ... 0.00 μB per cell

Structure (CIF):
```
data_Pm8Pr4Sm3
_chemical_formula_sum 'Pm16 Pr8 Sm6'
_space_group_name_H-M_alt 'C 1 2/m 1'
_space_group_IT_number 12
_cell_length_a 13.802
_cell_length_b 12.937
_cell_length_c 6.906
_cell_angle_alpha 90.00
_cell_angle_beta 119.89
_cell_angle_gamma 90.00
loop_
_space_group_symop_operation_xyz
'x,y,z'
'-x,-y,-z'
'-x,y,-z'
'x,-y,z'
'x+1/2,y+1/2,z'
'-x+1/2,-y+1/2,-z'
'-x+1/2,y+1/2,-z'
'x+1/2,-y+1/2,z'
loop_
_atom_site_label
_atom_site_type_symbol
_atom_site_fract_x
_atom_site_fract_y
_atom_site_fract_z
Pm1 Pm 0.000 0.147 0.000
Pm2 Pm 0.000 0.245 0.500
Pm3 Pm 0.224 0.000 0.416
Pm4 Pm 0.245 0.000 0.961
Pr1 Pr 0.000 0.500 0.000
Pr2 Pr 0.000 0.500 0.500
Pr3 Pr 0.250 0.250 0.500
Sm1 Sm 0.000 0.000 0.500
Sm2 Sm 0.250 0.250 0.000
```


DFT (GGA-PBE) results for an optimized crystal structure of PmPr3Sm7.

Energy above the lowest structure with this stoichiometry ... 0.046 eV/atom
E_form ... 0.21 eV/atom
Spin magnetization ... 0.00 μB per cell

Structure (CIF):
```
data_PmPr3Sm7
_chemical_formula_sum 'Pm2 Pr6 Sm14'
_space_group_name_H-M_alt 'C 1 2/m 1'
_space_group_IT_number 12
_cell_length_a 11.864
_cell_length_b 10.243
_cell_length_c 6.498
_cell_angle_alpha 90.00
_cell_angle_beta 95.08
_cell_angle_gamma 90.00
loop_
_space_group_symop_operation_xyz
'x,y,z'
'-x,-y,-z'
'-x,y,-z'
'x,-y,z'
'x+1/2,y+1/2,z'
'-x+1/2,-y+1/2,-z'
'-x+1/2,y+1/2,-z'
'x+1/2,-y+1/2,z'
loop_
_atom_site_label
_atom_site_type_symbol
_atom_site_fract_x
_atom_site_fract_y
_atom_site_fract_z
Pm1 Pm 0.000 0.000 0.000
Pr1 Pr 0.000 0.326 0.500
Pr2 Pr 0.000 0.500 0.000
Sm1 Sm 0.000 0.000 0.500
Sm2 Sm 0.239 0.500 0.712
Sm3 Sm 0.245 0.172 0.761
```


DFT (GGA-PBE) results for an optimized crystal structure of PmPr2Sm.

Energy above the lowest structure with this stoichiometry ... 0.040 eV/atom
E_form ... 0.05 eV/atom
Spin magnetization ... 0.00 μB per cell

Structure (CIF):
```
data_PmPr2Sm
_chemical_formula_sum 'Pm2 Pr4 Sm2'
_space_group_name_H-M_alt 'A m m 2'
_space_group_IT_number 38
_cell_length_a 5.736
_cell_length_b 3.600
_cell_length_c 13.620
_cell_angle_alpha 90.00
_cell_angle_beta 90.00
_cell_angle_gamma 90.00
loop_
_space_group_symop_operation_xyz
'x,y,z'
'-x,-y,z'
'-x,y,z'
'x,-y,z'
'x,y+1/2,z+1/2'
'-x,-y+1/2,z+1/2'
'-x,y+1/2,z+1/2'
'x,-y+1/2,z+1/2'
loop_
_atom_site_label
_atom_site_type_symbol
_atom_site_fract_x
_atom_site_fract_y
_atom_site_fract_z
Pm1 Pm 0.000 0.000 0.000
Pr1 Pr 0.000 0.000 0.256
Pr2 Pr 0.500 0.000 0.382
Sm1 Sm 0.500 0.000 0.638
```


DFT (GGA-PBE) results for an optimized crystal structure of PmPr2Sm2.

Energy above the lowest structure with this stoichiometry ... 0.000 eV/atom
E_form ... 0.03 eV/atom
Spin magnetization ... 0.00 μB per cell

Structure (CIF):
```
data_PmPr2Sm2
_chemical_formula_sum 'Pm4 Pr8 Sm8'
_space_group_name_H-M_alt 'C 1 2/c 1'
_space_group_IT_number 15
_cell_length_a 12.461
_cell_length_b 6.418
_cell_length_c 9.474
_cell_angle_alpha 90.00
_cell_angle_beta 111.73
_cell_angle_gamma 90.00
loop_
_space_group_symop_operation_xyz
'x,y,z'
'-x,-y,-z'
'-x,y,-z+1/2'
'x,-y,z+1/2'
'x+1/2,y+1/2,z'
'-x+1/2,-y+1/2,-z'
'-x+1/2,y+1/2,-z+1/2'
'x+1/2,-y+1/2,z+1/2'
loop_
_atom_site_label
_atom_site_type_symbol
_atom_site_fract_x
_atom_site_fract_y
_atom_site_fract_z
Pm1 Pm 0.000 0.166 0.250
Pr1 Pr 0.199 0.165 0.650
Sm1 Sm 0.100 0.336 0.950
```


DFT (GGA-PBE) results for an optimized crystal structure of Pm3Pr8Sm4.

E_form ... 0.30 eV/atom
Spin magnetization ... 0.01 μB per cell

Structure (CIF):
```
data_Pm3Pr8Sm4
_chemical_formula_sum 'Pm6 Pr16 Sm8'
_space_group_name_H-M_alt 'C 1 2/m 1'
_space_group_IT_number 12
_cell_length_a 14.219
_cell_length_b 12.391
_cell_length_c 6.986
_cell_angle_alpha 90.00
_cell_angle_beta 119.36
_cell_angle_gamma 90.00
loop_
_space_group_symop_operation_xyz
'x,y,z'
'-x,-y,-z'
'-x,y,-z'
'x,-y,z'
'x+1/2,y+1/2,z'
'-x+1/2,-y+1/2,-z'
'-x+1/2,y+1/2,-z'
'x+1/2,-y+1/2,z'
loop_
_atom_site_label
_atom_site_type_symbol
_atom_site_fract_x
_atom_site_fract_y
_atom_site_fract_z
Pm1 Pm 0.000 0.000 0.000
Pm2 Pm 0.250 0.250 0.000
Pr1 Pr 0.000 0.204 0.500
Pr2 Pr 0.000 0.253 0.000
Pr3 Pr 0.204 0.000 0.701
Pr4 Pr 0.247 0.500 0.752
Sm1 Sm 0.000 0.500 0.000
Sm2 Sm 0.000 0.500 0.500
Sm3 Sm 0.250 0.250 0.500
```


DFT (GGA-PBE) results for an optimized crystal structure of Pm10Pr4Sm.

E_form ... 0.30 eV/atom
Spin magnetization ... 0.00 μB per cell

Structure (CIF):
```
data_Pm10Pr4Sm
_chemical_formula_sum 'Pm20 Pr8 Sm2'
_space_group_name_H-M_alt 'I 4/m'
_space_group_IT_number 87
_space_group_name_Hall '-I 4'
_cell_length_a 9.952
_cell_length_b 9.952
_cell_length_c 10.708
_cell_angle_alpha 90.00
_cell_angle_beta 90.00
_cell_angle_gamma 90.00
loop_
_atom_site_label
_atom_site_type_symbol
_atom_site_fract_x
_atom_site_fract_y
_atom_site_fract_z
Pm1 Pm 0.000 0.500 0.250
Pm2 Pm 0.116 0.207 0.160
Pr1 Pr 0.058 0.328 0.500
Sm1 Sm 0.000 0.000 0.500
```